This record from Alexandria describes crystalline SrNd4Ho3Se8 at its relaxed geometry. The functional is PBE.

Cell: 8.3174 8.4288 8.3174 Å, 119.57 120.00 90.00°
Positions (direct):
Sr  0.0000  0.5000  0.0000
Nd  0.5000  0.0000  0.0000
Nd  0.5000  0.0000  0.5000
Nd  0.0000  0.0000  0.0000
Nd  0.0000  0.0000  0.5000
Ho  0.5000  0.5000  0.0000
Ho  0.5000  0.5000  0.5000
Ho  0.0000  0.5000  0.5000
Se  0.2509  0.7398  0.9887
Se  0.2512  0.7395  0.5025
Se  0.2558  0.2666  0.5116
Se  0.7377  0.7398  0.9887
Se  0.2623  0.2602  0.0113
Se  0.7442  0.7334  0.4884
Se  0.7488  0.2605  0.4975
Se  0.7491  0.2602  0.0113

Output
Size of the total moment in Bohr magnetons per cell: 0.000
Energy in eV per atom: -5.699
Crystal system: trigonal
Density of states at the Fermi level in states/eV per atom: 0.526
SG: R-3m
Raw formation energy in eV/atom: -1.8017